[1]
Material: Hg2OsCl
Method: DFT, PBE
State: optimized geometry

Values from the calculation:
Its excess energy over the best structure of this formula in the dataset is 248.2 kJ/mol of formula units. The raw formation energy comes out at 1.1261 eV/atom. The symmetry is No. 225.

Cell lengths 4.9468, 4.9468, 4.9468 Å; angles 60.00, 60.00, 60.00 degrees
Atoms (fractional coordinates):
Hg 0.2500 0.2500 0.2500
Hg 0.7500 0.7500 0.7500
Os 0.0000 0.0000 0.0000
Cl 0.5000 0.5000 0.5000


[2]
Material: ZrZn7
Method: DFT, PBE
State: optimized geometry

Values from the calculation:
The formation energy comes out at -0.1017 eV/atom. Its excess energy over the best structure of this formula in the dataset is 0.0 kJ/mol of formula units. The symmetry is No. 123.

Cell lengths 4.2378, 4.2378, 7.0451 Å; angles 90.00, 90.00, 90.00 degrees
Atoms (fractional coordinates):
Zr 0.0000 0.0000 0.0000
Zn 0.0000 0.0000 0.5000
Zn 0.0000 0.5000 0.2646
Zn 0.0000 0.5000 0.7355
Zn 0.5000 0.0000 0.2646
Zn 0.5000 0.0000 0.7355
Zn 0.5000 0.5000 0.0000
Zn 0.5000 0.5000 0.5000


[3]
Material: AcNiRu
Method: DFT, PBE
State: optimized geometry

Values from the calculation:
The formation energy comes out at -0.0709 eV/atom. Its excess energy over the best structure of this formula in the dataset is 0.0 kJ/mol of formula units. The symmetry is No. 187.

Cell lengths 4.1925, 4.1925, 4.3743 Å; angles 90.00, 90.00, 120.00 degrees
Atoms (fractional coordinates):
Ac 0.0000 0.0000 0.0000
Ni 0.6667 0.3333 0.5000
Ru 0.3333 0.6667 0.5000


[4]
Material: YHoCuIr
Method: DFT, PBE
State: optimized geometry

Values from the calculation:
The formation energy comes out at -0.5925 eV/atom. The symmetry is No. 216.

Cell lengths 4.8693, 4.8693, 4.8693 Å; angles 60.00, 60.00, 60.00 degrees
Atoms (fractional coordinates):
Y 0.0000 0.0000 0.0000
Ho 0.5000 0.5000 0.5000
Cu 0.7500 0.7500 0.7500
Ir 0.2500 0.2500 0.2500


[5]
Material: LaSc4Al5
Method: DFT, PBE
State: optimized geometry

Values from the calculation:
The formation energy comes out at -0.4214 eV/atom. The symmetry is No. 123.

Cell lengths 3.4532, 3.4532, 17.4277 Å; angles 90.00, 90.00, 90.00 degrees
Atoms (fractional coordinates):
La 0.0000 0.0000 0.0000
Sc 0.0000 0.0000 0.2177
Sc 0.0000 0.0000 0.4063
Sc 0.0000 0.0000 0.5937
Sc 0.0000 0.0000 0.7823
Al 0.5000 0.5000 0.1251
Al 0.5000 0.5000 0.3122
Al 0.5000 0.5000 0.5000
Al 0.5000 0.5000 0.6878
Al 0.5000 0.5000 0.8749


[6]
Material: Rb2LiBi2Pb
Method: DFT, PBE
State: optimized geometry

Values from the calculation:
The formation energy comes out at -0.3493 eV/atom. The symmetry is No. 72.

Cell lengths 10.1498, 10.1498, 10.1498 Å; angles 138.00, 61.50, 137.23 degrees
Atoms (fractional coordinates):
Rb 0.1705 0.2443 0.4148
Rb 0.3295 0.7443 0.0738
Rb 0.6705 0.2557 0.9262
Rb 0.8295 0.7557 0.5852
Li 0.2500 0.7500 0.5000
Li 0.7500 0.2500 0.5000
Bi 0.1003 0.7351 0.8353
Bi 0.3997 0.2351 0.6348
Bi 0.6003 0.7649 0.3652
Bi 0.8997 0.2649 0.1647
Pb 0.2500 0.2500 0.0000
Pb 0.7500 0.7500 0.0000


| no. | theoretical density (g/cm³) | DOS at the Fermi energy (states/eV per atom) |
| --- | --- | --- |
| 1 | 12.16 | 0.596 |
| 2 | 7.21 | 0.427 |
| 3 | 9.65 | 1.365 |
| 4 | 10.37 | 0.727 |
| 5 | 3.62 | 0.557 |
| 6 | 5.68 | 0.385 |